No. 1
KLi2SiSe4 | PBE | optimized geometry

Values from the calculation:
- Energy relative to the elements, uncorrected: -6.83 eV per formula unit
- Space-group type: I-42m (121)
- V: 207.0 Å³/f.u.
- Total moment: 0.0 μB per formula unit

Unit cell a=6.519 b=6.519 c=6.519 alpha=115.52 beta=115.52 gamma=97.95
Fractional coordinates of all 8 atoms:
K (0.000, 0.000, 0.000)
Li (0.250, 0.750, 0.500)
Li (0.750, 0.250, 0.500)
Si (0.500, 0.500, 0.000)
Se (0.156, 0.536, 0.000)
Se (0.464, 0.464, 0.620)
Se (0.536, 0.156, 0.000)
Se (0.844, 0.844, 0.380)



No. 2
KLiSnSe2 | PBE | optimized geometry

Values from the calculation:
- Energy relative to the elements, uncorrected: -4.55 eV per formula unit
- Space-group type: C2/m (12)
- V: 155.3 Å³/f.u.
- Total moment: 0.0 μB per formula unit

Unit cell a=8.208 b=8.208 c=9.258 alpha=95.25 beta=95.25 gamma=30.02
Fractional coordinates of all 10 atoms:
K (0.166, 0.166, 0.297)
K (0.834, 0.834, 0.703)
Li (0.199, 0.199, 0.926)
Li (0.801, 0.801, 0.074)
Sn (0.439, 0.439, 0.249)
Sn (0.561, 0.561, 0.751)
Se (0.157, 0.157, 0.651)
Se (0.363, 0.363, 0.979)
Se (0.637, 0.637, 0.021)
Se (0.843, 0.843, 0.349)



No. 3
KLiSnSe3 | PBE | optimized geometry

Values from the calculation:
- Energy relative to the elements, uncorrected: -4.64 eV per formula unit
- Space-group type: Cmcm (63)
- V: 181.4 Å³/f.u.
- Total moment: 0.0 μB per formula unit

Unit cell a=7.929 b=7.929 c=7.155 alpha=90.00 beta=90.00 gamma=126.24
Fractional coordinates of all 12 atoms:
K (0.243, 0.757, 0.750)
K (0.757, 0.243, 0.250)
Li (0.423, 0.577, 0.250)
Li (0.577, 0.423, 0.750)
Sn (0.062, 0.938, 0.250)
Sn (0.938, 0.062, 0.750)
Se (0.240, 0.760, 0.250)
Se (0.253, 0.253, 0.000)
Se (0.253, 0.253, 0.500)
Se (0.747, 0.747, 0.000)
Se (0.747, 0.747, 0.500)
Se (0.760, 0.240, 0.750)



No. 4
KLi2TaSe4 | PBE | optimized geometry

Values from the calculation:
- Energy relative to the elements, uncorrected: -8.35 eV per formula unit
- Space-group type: I-42m (121)
- V: 224.0 Å³/f.u.
- Total moment: 0.0 μB per formula unit

Unit cell a=6.723 b=6.723 c=6.723 alpha=116.83 beta=116.83 gamma=95.59
Fractional coordinates of all 8 atoms:
K (0.000, 0.000, 0.000)
Li (0.250, 0.750, 0.500)
Li (0.750, 0.250, 0.500)
Ta (0.500, 0.500, 0.000)
Se (0.147, 0.147, 0.604)
Se (0.458, 0.853, 0.000)
Se (0.542, 0.542, 0.396)
Se (0.853, 0.458, 0.000)



No. 5
KLiTeSe3 | PBE | optimized geometry

Values from the calculation:
- Energy relative to the elements, uncorrected: -3.97 eV per formula unit
- Space-group type: P2_1/m (11)
- V: 173.0 Å³/f.u.
- Total moment: 0.0 μB per formula unit

Unit cell a=9.291 b=4.176 c=9.407 alpha=90.00 beta=108.57 gamma=90.00
Fractional coordinates of all 12 atoms:
K (0.218, 0.250, 0.260)
K (0.782, 0.750, 0.740)
Li (0.083, 0.250, 0.592)
Li (0.917, 0.750, 0.408)
Te (0.324, 0.750, 0.841)
Te (0.676, 0.250, 0.159)
Se (0.127, 0.250, 0.876)
Se (0.208, 0.750, 0.536)
Se (0.469, 0.750, 0.168)
Se (0.531, 0.250, 0.832)
Se (0.792, 0.250, 0.464)
Se (0.873, 0.750, 0.124)



No. 6
K2LiTeSe | PBE | optimized geometry

Values from the calculation:
- Energy relative to the elements, uncorrected: -4.01 eV per formula unit
- Space-group type: P4/mmm (123)
- V: 189.3 Å³/f.u.
- Total moment: 0.8 μB per formula unit

Unit cell a=6.383 b=6.383 c=4.648 alpha=90.00 beta=90.00 gamma=90.00
Fractional coordinates of all 5 atoms:
K (0.000, 0.500, 0.000)
K (0.500, 0.000, 0.000)
Li (0.000, 0.000, 0.500)
Te (0.500, 0.500, 0.500)
Se (0.000, 0.000, 0.000)



No. 7
KLiTeSe2 | PBE | optimized geometry

Values from the calculation:
- Energy relative to the elements, uncorrected: 2.38 eV per formula unit
- Space-group type: P4/mmm (123)
- V: 227.2 Å³/f.u.
- Total moment: 4.0 μB per formula unit

Unit cell a=5.972 b=5.972 c=6.371 alpha=90.00 beta=90.00 gamma=90.00
Fractional coordinates of all 5 atoms:
K (0.000, 0.000, 0.000)
Li (0.500, 0.500, 0.500)
Te (0.000, 0.000, 0.500)
Se (0.000, 0.500, 0.000)
Se (0.500, 0.000, 0.000)



No. 8
K2LiThSe4 | PBE | optimized geometry

Values from the calculation:
- Energy relative to the elements, uncorrected: -10.42 eV per formula unit
- Space-group type: Imma (74)
- V: 247.4 Å³/f.u.
- Total moment: 1.0 μB per formula unit

Unit cell a=8.956 b=8.956 c=8.956 alpha=124.02 beta=118.93 gamma=87.52
Fractional coordinates of all 16 atoms:
K (0.000, 0.000, 0.000)
K (0.500, 0.000, 0.000)
K (0.500, 0.000, 0.500)
K (0.500, 0.500, 0.500)
Li (0.000, 0.500, 0.500)
Li (0.500, 0.500, 0.000)
Th (0.000, 0.000, 0.500)
Th (0.000, 0.500, 0.000)
Se (0.212, 0.243, 0.970)
Se (0.227, 0.757, 0.470)
Se (0.228, 0.293, 0.565)
Se (0.228, 0.663, 0.935)
Se (0.772, 0.337, 0.065)
Se (0.772, 0.707, 0.435)
Se (0.773, 0.243, 0.530)
Se (0.788, 0.757, 0.030)



No. 9
K3LiTh3Se8 | PBE | optimized geometry

Values from the calculation:
- Energy relative to the elements, uncorrected: -23.56 eV per formula unit
- Space-group type: R-3m (166)
- V: 496.0 Å³/f.u.
- Total moment: 0.0 μB per formula unit

Unit cell a=9.189 b=9.189 c=9.189 alpha=55.86 beta=55.86 gamma=55.86
Fractional coordinates of all 15 atoms:
K (0.000, 0.500, 0.500)
K (0.500, 0.000, 0.500)
K (0.500, 0.500, 0.000)
Li (0.500, 0.500, 0.500)
Th (0.000, 0.000, 0.500)
Th (0.000, 0.500, 0.000)
Th (0.500, 0.000, 0.000)
Se (0.225, 0.737, 0.737)
Se (0.238, 0.238, 0.238)
Se (0.263, 0.263, 0.775)
Se (0.263, 0.775, 0.263)
Se (0.737, 0.225, 0.737)
Se (0.737, 0.737, 0.225)
Se (0.762, 0.762, 0.762)
Se (0.775, 0.263, 0.263)



No. 10
K4LiTh3Se8 | PBE | optimized geometry

Values from the calculation:
- Energy relative to the elements, uncorrected: -24.77 eV per formula unit
- Space-group type: R-3m (166)
- V: 493.3 Å³/f.u.
- Total moment: 0.0 μB per formula unit

Unit cell a=9.141 b=9.141 c=9.141 alpha=56.25 beta=56.25 gamma=56.25
Fractional coordinates of all 16 atoms:
K (0.000, 0.000, 0.000)
K (0.000, 0.500, 0.500)
K (0.500, 0.000, 0.500)
K (0.500, 0.500, 0.000)
Li (0.500, 0.500, 0.500)
Th (0.000, 0.000, 0.500)
Th (0.000, 0.500, 0.000)
Th (0.500, 0.000, 0.000)
Se (0.230, 0.738, 0.738)
Se (0.238, 0.238, 0.238)
Se (0.262, 0.262, 0.770)
Se (0.262, 0.770, 0.262)
Se (0.738, 0.230, 0.738)
Se (0.738, 0.738, 0.230)
Se (0.762, 0.762, 0.762)
Se (0.770, 0.262, 0.262)



No. 11
K3LiTh2Se6 | PBE | optimized geometry

Values from the calculation:
- Energy relative to the elements, uncorrected: -18.92 eV per formula unit
- Space-group type: C2/m (12)
- V: 372.4 Å³/f.u.
- Total moment: 0.0 μB per formula unit

Unit cell a=7.494 b=7.494 c=8.050 alpha=98.89 beta=98.89 gamma=119.99
Fractional coordinates of all 12 atoms:
K (0.000, 0.000, 0.000)
K (0.338, 0.662, 0.000)
K (0.662, 0.338, 0.000)
Li (0.500, 0.500, 0.500)
Th (0.167, 0.833, 0.500)
Th (0.833, 0.167, 0.500)
Se (0.087, 0.431, 0.292)
Se (0.226, 0.226, 0.706)
Se (0.431, 0.087, 0.292)
Se (0.569, 0.913, 0.708)
Se (0.774, 0.774, 0.294)
Se (0.913, 0.569, 0.708)



No. 12
K2Li2ThSe4 | PBE | optimized geometry

Values from the calculation:
- Energy relative to the elements, uncorrected: -13.36 eV per formula unit
- Space-group type: C2/m (12)
- V: 250.2 Å³/f.u.
- Total moment: 0.0 μB per formula unit

Unit cell a=8.124 b=8.124 c=7.882 alpha=109.67 beta=109.67 gamma=30.89
Fractional coordinates of all 9 atoms:
K (0.140, 0.140, 0.065)
K (0.860, 0.860, 0.935)
Li (0.317, 0.317, 0.511)
Li (0.683, 0.683, 0.489)
Th (0.000, 0.000, 0.500)
Se (0.198, 0.198, 0.675)
Se (0.483, 0.483, 0.739)
Se (0.517, 0.517, 0.261)
Se (0.802, 0.802, 0.325)



Q: Look up the total moment of the sixth one.
A: 0.8 μB per formula unit